Entry from the Alexandria database: a relaxed structure of CrHg3F (GGA+U).

Calculated values
Space group: Pm-3m (221)
Spin magnetization in μB/cell: 4.894
E in eV per atom: -2.110
Calculated volume in Å³ per atom: 32.08
Theoretical density in g cm⁻³: 6.97

Unit cell a=5.4332 b=5.4332 c=5.4332 alpha=90.00 beta=90.00 gamma=90.00
Fractional coordinates of all 5 atoms:
Hg 0.5000 0.0000 0.0000
Hg 0.0000 0.0000 0.5000
Hg 0.0000 0.5000 0.0000
F 0.5000 0.5000 0.5000
Cr 0.0000 0.0000 0.0000